The following is a DFT calculation (PBE) of Cd2WSe after structural relaxation.

The structure in extended XYZ format:
```
4
Lattice="3.0783 0.0000 0.0000 0.0000 3.0783 0.0000 0.0000 0.0000 8.8422" Properties=species:S:1:pos:R:3 pbc="T T T"
Cd 0.0000 0.0000 8.5361
Cd 1.5391 1.5391 2.0431
Se 0.0000 0.0000 5.0495
W 1.5391 1.5391 6.4769
```

Calculated values
Formation energy without anion corrections, meV per atom: 174
Symmetry: No. 99
Total magnetization, μB per atom: 0.000
Uncorrected energy, eV/atom: -4.393